Entry from Alexandria: crystalline SrAcRh2 at its relaxed geometry (PBE-GGA).

Lattice parameters (Å, degrees): 4.4938 5.9394 5.9394 43.23 90.00 90.00
Element x y z (fractional)
Sr 0.0000 0.0000 0.0000
Ac 0.5000 0.7187 0.7187
Rh 0.0000 0.2927 0.2927
Rh 0.5000 0.4106 0.4106

Summary:
- energy of formation from the pure elements (eV per formula unit) = -1.62
- polymorph energy (0 for the lowest one) (eV per formula unit) = 0.000
- crystal system = orthorhombic
- V (Å³ per atom) = 27.144